Record 1
! TaAl2Cl | the Alexandria database | PBE | relaxed; values from VASP
! - energy (eV per atom) = -5.35
! - density (g/cm³) = 5.41
&SYSTEM
  ibrav = 0, nat = 4, ntyp = 3
/
ATOMIC_SPECIES
Ta 180.95 Ta.upf
Al 26.98 Al.upf
Cl 35.45 Cl.upf
CELL_PARAMETERS angstrom
1.6131 -2.4544 0.0000
1.6131 2.4544 0.0000
0.0000 0.0000 10.4764
ATOMIC_POSITIONS crystal
Ta 0.0000 0.0000 0.0000
Al 0.0000 0.0000 0.4347
Al 0.5000 0.5000 0.2167
Cl 0.5000 0.5000 0.8171

Record 2
! TaAlCl2 | the Alexandria database | PBE | relaxed; values from VASP
! - energy (eV per atom) = -5.22
! - density (g/cm³) = 5.78
&SYSTEM
  ibrav = 0, nat = 4, ntyp = 3
/
ATOMIC_SPECIES
Ta 180.95 Ta.upf
Al 26.98 Al.upf
Cl 35.45 Cl.upf
CELL_PARAMETERS angstrom
3.0076 0.0000 0.0000
0.0000 3.0076 0.0000
0.0000 0.0000 8.8585
ATOMIC_POSITIONS crystal
Ta 0.0000 0.0000 0.0000
Al 0.5000 0.5000 0.2205
Cl 0.0000 0.0000 0.4141
Cl 0.5000 0.5000 0.8154

Record 3
! TaAl2Cl | the Alexandria database | PBE | relaxed; values from VASP
! - energy (eV per atom) = -5.37
! - density (g/cm³) = 5.45
&SYSTEM
  ibrav = 0, nat = 4, ntyp = 3
/
ATOMIC_SPECIES
Ta 180.95 Ta.upf
Al 26.98 Al.upf
Cl 35.45 Cl.upf
CELL_PARAMETERS angstrom
2.9125 0.0000 0.0000
0.0000 2.9125 0.0000
0.0000 0.0000 9.7043
ATOMIC_POSITIONS crystal
Ta 0.0000 0.0000 0.0000
Al 0.0000 0.0000 0.4183
Al 0.5000 0.5000 0.2052
Cl 0.5000 0.5000 0.8234

no.,energy relative to the lowest polymorph listed for this composition (meV per atom),formation energy (no corrections) (eV/atom)
1,210,-0.056
2,382,-0.402
3,188,-0.077